[1]
Compound: Na2AcHg8
Source: Alexandria
Functional: GGA-PBE
Structure: optimized geometry

## Properties
The formation energy from the elements comes out at -229 meV per atom. For the relative energy among the computed polymorphs, the calculation gives 0.000 eV per atom. As for the symmetry: C2/m.

Lattice parameters (Å, degrees): 5.640 8.768 9.124 61.29 71.37 48.31
Fractional positions:
Hg1 0.500 0.210 0.581
Hg2 0.218 0.906 0.733
Ac1 0.500 0.000 0.000
Na1 0.000 0.315 0.369
Hg3 0.782 0.361 0.733
Hg4 0.500 0.790 0.419
Hg5 0.782 0.094 0.267
Hg6 0.218 0.639 0.267
Hg7 0.259 0.488 0.000
Hg8 0.741 0.512 0.000
Na2 0.000 0.685 0.631



[2]
Compound: NaAc2Hg
Source: Alexandria
Functional: GGA-PBE
Structure: optimized geometry

## Properties
The formation energy from the elements comes out at -102 meV per atom. For the relative energy among the computed polymorphs, the calculation gives 0.045 eV per atom. As for the symmetry: Fm-3m.

Lattice parameters (Å, degrees): 5.830 5.830 5.830 60.00 60.00 60.00
Fractional positions:
Ac1 0.250 0.250 0.250
Hg1 0.500 0.500 0.500
Ac2 0.750 0.750 0.750
Na1 0.000 0.000 0.000



[3]
Compound: NaAc2Hg
Source: Alexandria
Functional: GGA-PBE
Structure: optimized geometry

## Properties
The formation energy from the elements comes out at -146 meV per atom. For the relative energy among the computed polymorphs, the calculation gives 0.000 eV per atom. As for the symmetry: P4/mmm.

Lattice parameters (Å, degrees): 4.090 4.090 8.824 90.00 90.00 90.00
Fractional positions:
Hg1 0.500 0.500 0.000
Ac1 0.000 0.000 0.783
Na1 0.500 0.500 0.500
Ac2 0.000 0.000 0.217



[4]
Compound: Na2AcHg3
Source: Alexandria
Functional: GGA-PBE
Structure: optimized geometry

## Properties
The formation energy from the elements comes out at -319 meV per atom. For the relative energy among the computed polymorphs, the calculation gives 0.006 eV per atom. As for the symmetry: P-3m1.

Lattice parameters (Å, degrees): 5.471 5.471 6.683 90.00 90.00 120.00
Fractional positions:
Ac1 0.000 0.000 0.000
Na1 0.667 0.333 0.356
Hg1 0.667 0.333 0.838
Na2 0.333 0.667 0.644
Hg2 0.000 0.000 0.500
Hg3 0.333 0.667 0.162



[5]
Compound: Na2Ac2Hg3
Source: Alexandria
Functional: GGA-PBE
Structure: optimized geometry

## Properties
The formation energy from the elements comes out at -329 meV per atom. As for the symmetry: Cmmm.

Lattice parameters (Å, degrees): 4.009 3.961 14.795 90.00 82.21 90.00
Fractional positions:
Na1 0.698 0.500 0.605
Na2 0.302 0.500 0.395
Hg1 0.138 0.000 0.724
Hg2 0.862 0.000 0.276
Hg3 0.000 0.000 0.000
Ac1 0.431 0.500 0.139
Ac2 0.569 0.500 0.861



[6]
Compound: NaAcHg2
Source: Alexandria
Functional: GGA-PBE
Structure: optimized geometry

## Properties
The formation energy from the elements comes out at -351 meV per atom. For the relative energy among the computed polymorphs, the calculation gives 0.032 eV per atom. As for the symmetry: P4/mmm.

Lattice parameters (Å, degrees): 3.855 5.625 5.625 90.00 90.00 90.00
Fractional positions:
Hg1 0.000 0.000 0.500
Hg2 0.000 0.500 0.000
Na1 0.500 0.500 0.500
Ac1 0.500 0.000 0.000



[7]
Compound: NaAc2Hg
Source: Alexandria
Functional: GGA-PBE
Structure: optimized geometry

## Properties
The formation energy from the elements comes out at 1 meV per atom. For the relative energy among the computed polymorphs, the calculation gives 0.147 eV per atom. As for the symmetry: R-3m.

Lattice parameters (Å, degrees): 3.938 3.938 12.813 81.16 81.16 60.00
Fractional positions:
Hg1 0.500 0.500 0.500
Ac1 0.101 0.101 0.698
Ac2 0.899 0.899 0.302
Na1 0.000 0.000 0.000



[8]
Compound: NaAcHg17
Source: Alexandria
Functional: GGA-PBE
Structure: optimized geometry

## Properties
The formation energy from the elements comes out at -104 meV per atom. As for the symmetry: R3m.

Lattice parameters (Å, degrees): 8.480 8.480 8.480 71.23 71.23 71.23
Fractional positions:
Hg1 0.296 0.697 0.000
Hg2 0.789 0.430 0.430
Hg3 0.430 0.789 0.430
Hg4 0.156 0.600 0.600
Hg5 0.697 0.296 0.000
Hg6 0.697 0.000 0.296
Ac1 0.713 0.713 0.713
Hg7 0.000 0.697 0.296
Hg8 0.902 0.902 0.902
Hg9 0.491 0.010 0.010
Hg10 0.010 0.010 0.491
Hg11 0.097 0.097 0.097
Hg12 0.000 0.296 0.697
Hg13 0.296 0.000 0.697
Hg14 0.600 0.600 0.156
Hg15 0.600 0.156 0.600
Hg16 0.010 0.491 0.010
Hg17 0.430 0.430 0.789
Na1 0.285 0.285 0.285



> The highest formation energy from the elements belongs to which entry?

number 7